TlCrO2F after structural relaxation, computed with GGA+U.

It has space group P4/mmm (No. 123), with a = 4.002 Å, b = 4.002 Å, c = 3.953 Å, α = 90.00°, β = 90.00° and γ = 90.00°. The inequivalent atoms are Tl at (0.000, 0.000, 0.000), Cr at (0.500, 0.500, 0.500), O at (0.000, 0.500, 0.500) and F at (0.500, 0.500, 0.000).

The value obtained for the total magnetization is 2.51 μB per formula unit. The total energy is -28.94 eV/cell. The value obtained for the density of states at the Fermi level is 1.392 states/eV per cell.